A relaxed PmSmCr2O8 crystal, computed with PBE+U.

Values from the calculation:
* total DFT energy (no corrections): -91.79 eV for the cell shown
* V: 14.5 Å³/atom

Lattice parameters (Å, degrees): 6.1143 6.1143 6.1143 105.89 105.89 116.90
Last column: magnetic moment on the atom in μB.
Element x y z (fractional)
O 0.9200 0.2381 0.3182  -0.03
O 0.8519 0.6710 0.1810  -0.03
O 0.4900 0.6710 0.8190  -0.03
O 0.3290 0.1481 0.8190  -0.03
O 0.7619 0.0800 0.6818  -0.03
O 0.9200 0.6018 0.6818  -0.03
O 0.3290 0.5100 0.1810  -0.03
O 0.3982 0.0800 0.3182  -0.03
Cr 0.7500 0.2500 0.5000  1.09
Cr 0.5000 0.5000 0.0000  1.09
Sm 0.0000 0.0000 0.0000  0.02
Pm 0.2500 0.7500 0.5000  0.02

A relaxed NiGeN2O crystal, computed with PBE+U.

Values from the calculation:
* total DFT energy (no corrections): -23.99 eV for the cell shown
* V: 10.8 Å³/atom

Lattice parameters (Å, degrees): 3.8013 3.8013 3.7423 90.00 90.00 90.00
Last column: magnetic moment on the atom in μB.
Element x y z (fractional)
Ni 0.5000 0.5000 0.5000  1.67
O 0.0000 0.0000 0.5000  0.16
N 0.5000 0.0000 0.0000  0.21
N 0.0000 0.5000 0.0000  0.21
Ge 0.0000 0.0000 0.0000  -0.02

Q: Which of these has the highest total DFT energy (no corrections)?
A: NiGeN2O

Q: The lowest V belongs to which entry?
A: NiGeN2O

Q: What is the total DFT energy (no corrections) in the first record?
A: -91.79 eV for the cell shown

Q: total DFT energy (no corrections) of number 1 (PmSmCr2O8)?
A: -91.79 eV for the cell shown